1.
# PBE TcAsP2S, optimized geometry
# **DOS at the Fermi energy**: 0.75 states/eV per atom
# **Theoretical density**: 4498 kg/m3
# **Raw formation energy**: 3.186 eV/f.u.
data_TcAsP2S
_space_group_name_H-M_alt 'P 1'
_space_group_IT_number 1
_space_group_name_Hall 'P 1'
_cell_length_a 4.768
_cell_length_b 4.768
_cell_length_c 4.335
_cell_angle_alpha 90.00
_cell_angle_beta 90.00
_cell_angle_gamma 90.00
loop_
_atom_site_label
_atom_site_type_symbol
_atom_site_fract_x
_atom_site_fract_y
_atom_site_fract_z
_atom_site_occupancy
Tc1 Tc 0.000 0.000 0.000 1
P1 P 0.500 0.000 0.000 1
P2 P 0.000 0.500 0.000 1
As1 As 0.500 0.500 0.500 1
S1 S 0.000 0.000 0.500 1


2.
# PBE Th4AsP2S, optimized geometry
# **DOS at the Fermi energy**: 0.60 states/eV per atom
# **Theoretical density**: 9019 kg/m3
# **Raw formation energy**: -12.767 eV/f.u.
data_Th4AsP2S
_space_group_name_H-M_alt 'P 1'
_space_group_IT_number 1
_space_group_name_Hall 'P 1'
_cell_length_a 4.148
_cell_length_b 7.203
_cell_length_c 7.173
_cell_angle_alpha 70.50
_cell_angle_beta 90.00
_cell_angle_gamma 90.00
loop_
_atom_site_label
_atom_site_type_symbol
_atom_site_fract_x
_atom_site_fract_y
_atom_site_fract_z
_atom_site_occupancy
Th1 Th 0.500 0.242 0.750 1
Th2 Th 0.000 0.760 0.743 1
Th3 Th 0.000 0.240 0.257 1
Th4 Th 0.500 0.758 0.250 1
P1 P 0.000 0.000 0.000 1
P2 P 0.500 0.000 0.500 1
As1 As 0.500 0.500 0.000 1
S1 S 0.000 0.500 0.500 1


3.
# PBE Th6AsP3S2, optimized geometry
# **DOS at the Fermi energy**: 0.63 states/eV per atom
# **Theoretical density**: 9016 kg/m3
# **Raw formation energy**: -19.600 eV/f.u.
data_Th6AsP3S2
_space_group_name_H-M_alt 'P 1'
_space_group_IT_number 1
_space_group_name_Hall 'P 1'
_cell_length_a 4.149
_cell_length_b 8.231
_cell_length_c 9.240
_cell_angle_alpha 103.02
_cell_angle_beta 102.97
_cell_angle_gamma 90.00
loop_
_atom_site_label
_atom_site_type_symbol
_atom_site_fract_x
_atom_site_fract_y
_atom_site_fract_z
_atom_site_occupancy
S1 S 0.167 0.333 0.335 1
S2 S 0.833 0.667 0.665 1
Th1 Th 0.670 0.081 0.340 1
Th2 Th 0.666 0.585 0.331 1
Th3 Th 0.334 0.415 0.669 1
Th4 Th 0.000 0.258 0.999 1
Th5 Th 0.330 0.919 0.660 1
Th6 Th 0.000 0.742 0.001 1
As1 As 0.500 0.000 0.000 1
P1 P 0.165 0.832 0.331 1
P2 P 0.835 0.168 0.669 1
P3 P 0.500 0.500 0.000 1


4.
# PBE Th6As2PS3, optimized geometry
# **DOS at the Fermi energy**: 0.68 states/eV per atom
# **Theoretical density**: 9260 kg/m3
# **Raw formation energy**: -19.800 eV/f.u.
data_Th6As2PS3
_space_group_name_H-M_alt 'P 1'
_space_group_IT_number 1
_space_group_name_Hall 'P 1'
_cell_length_a 4.158
_cell_length_b 8.212
_cell_length_c 9.219
_cell_angle_alpha 102.22
_cell_angle_beta 103.03
_cell_angle_gamma 90.00
loop_
_atom_site_label
_atom_site_type_symbol
_atom_site_fract_x
_atom_site_fract_y
_atom_site_fract_z
_atom_site_occupancy
P1 P 0.500 0.000 0.000 1
Th1 Th 0.997 0.246 0.994 1
Th2 Th 0.336 0.410 0.672 1
Th3 Th 0.664 0.590 0.328 1
Th4 Th 0.335 0.924 0.669 1
Th5 Th 0.665 0.076 0.331 1
Th6 Th 0.003 0.754 0.006 1
S1 S 0.168 0.834 0.337 1
S2 S 0.500 0.500 0.000 1
S3 S 0.832 0.166 0.663 1
As1 As 0.834 0.666 0.667 1
As2 As 0.166 0.334 0.333 1


5.
# PBE Th6As3P2S, optimized geometry
# **DOS at the Fermi energy**: 0.64 states/eV per atom
# **Theoretical density**: 9154 kg/m3
# **Raw formation energy**: -18.305 eV/f.u.
data_Th6As3P2S
_space_group_name_H-M_alt 'P 1'
_space_group_IT_number 1
_space_group_name_Hall 'P 1'
_cell_length_a 4.187
_cell_length_b 8.361
_cell_length_c 9.352
_cell_angle_alpha 103.07
_cell_angle_beta 102.93
_cell_angle_gamma 90.00
loop_
_atom_site_label
_atom_site_type_symbol
_atom_site_fract_x
_atom_site_fract_y
_atom_site_fract_z
_atom_site_occupancy
Th1 Th 0.003 0.244 0.006 1
Th2 Th 0.670 0.576 0.339 1
Th3 Th 0.664 0.091 0.329 1
Th4 Th 0.997 0.756 0.994 1
Th5 Th 0.330 0.424 0.661 1
Th6 Th 0.336 0.909 0.671 1
S1 S 0.500 0.000 0.000 1
P1 P 0.166 0.333 0.333 1
P2 P 0.834 0.667 0.667 1
As1 As 0.500 0.500 0.000 1
As2 As 0.833 0.166 0.667 1
As3 As 0.167 0.834 0.333 1


6.
# PBE Th6AsP2S3, optimized geometry
# **DOS at the Fermi energy**: 0.67 states/eV per atom
# **Theoretical density**: 9139 kg/m3
# **Raw formation energy**: -20.214 eV/f.u.
data_Th6AsP2S3
_space_group_name_H-M_alt 'P 1'
_space_group_IT_number 1
_space_group_name_Hall 'P 1'
_cell_length_a 4.141
_cell_length_b 8.173
_cell_length_c 9.180
_cell_angle_alpha 102.31
_cell_angle_beta 103.03
_cell_angle_gamma 90.00
loop_
_atom_site_label
_atom_site_type_symbol
_atom_site_fract_x
_atom_site_fract_y
_atom_site_fract_z
_atom_site_occupancy
S1 S 0.835 0.167 0.670 1
S2 S 0.500 0.500 0.000 1
S3 S 0.165 0.833 0.330 1
Th1 Th 0.001 0.258 0.003 1
Th2 Th 0.333 0.419 0.666 1
Th3 Th 0.670 0.087 0.339 1
Th4 Th 0.667 0.581 0.334 1
Th5 Th 0.999 0.742 0.997 1
Th6 Th 0.330 0.913 0.661 1
P1 P 0.167 0.333 0.335 1
P2 P 0.833 0.667 0.665 1
As1 As 0.500 0.000 0.000 1


What is the raw formation energy in the first record? 3.186 eV/f.u.


The lowest raw formation energy belongs to which entry? Th6AsP2S3


What did the sixth record say?
# PBE Th6AsP2S3, optimized geometry
# **DOS at the Fermi energy**: 0.67 states/eV per atom
# **Theoretical density**: 9139 kg/m3
# **Raw formation energy**: -20.214 eV/f.u.
data_Th6AsP2S3
_space_group_name_H-M_alt 'P 1'
_space_group_IT_number 1
_space_group_name_Hall 'P 1'
_cell_length_a 4.141
_cell_length_b 8.173
_cell_length_c 9.180
_cell_angle_alpha 102.31
_cell_angle_beta 103.03
_cell_angle_gamma 90.00
loop_
_atom_site_label
_atom_site_type_symbol
_atom_site_fract_x
_atom_site_fract_y
_atom_site_fract_z
_atom_site_occupancy
S1 S 0.835 0.167 0.670 1
S2 S 0.500 0.500 0.000 1
S3 S 0.165 0.833 0.330 1
Th1 Th 0.001 0.258 0.003 1
Th2 Th 0.333 0.419 0.666 1
Th3 Th 0.670 0.087 0.339 1
Th4 Th 0.667 0.581 0.334 1
Th5 Th 0.999 0.742 0.997 1
Th6 Th 0.330 0.913 0.661 1
P1 P 0.167 0.333 0.335 1
P2 P 0.833 0.667 0.665 1
As1 As 0.500 0.000 0.000 1


Look up the DOS at the Fermi energy of the fifth one. 0.64 states/eV per atom